(1)
The following is a DFT calculation (PBE) of a relaxed structure of SrRu2.

Cell: 5.6137 5.6137 8.5010 Å, 90.72 90.72 30.50°
Fractional positions:
1 Sr 0.0000 0.0000 0.0000
2 Sr 0.2413 0.2413 0.6110
3 Ru 0.3371 0.3371 0.2627
4 Ru 0.4996 0.4996 0.6699
5 Ru 0.6409 0.6409 0.2772
6 Ru 0.9859 0.9859 0.4246

calculated total energy: -18.48 eV/f.u.
energy of formation: 169 kJ/mol of formula units
size of the total moment: 0.22 Bohr magnetons per cell
DOS at the Fermi energy: 6.56 states/eV/cell

---

(2)
The following is a DFT calculation (PBE) of a relaxed structure of Sr3Ru.

Cell: 6.5798 6.5798 6.5798 Å, 116.45 116.45 116.45°
Fractional positions:
1 Sr 0.0000 0.5000 0.5000
2 Sr 0.5000 0.0000 0.5000
3 Sr 0.5000 0.5000 0.0000
4 Ru 0.0000 0.0000 0.0000

calculated total energy: -11.25 eV/f.u.
energy of formation: 296 kJ/mol of formula units
size of the total moment: 0.67 Bohr magnetons per cell
DOS at the Fermi energy: 6.53 states/eV/cell

---

(3)
The following is a DFT calculation (PBE) of a relaxed structure of Sr2Ru.

Cell: 15.3165 15.3165 15.3165 Å, 166.35 166.35 19.35°
Fractional positions:
1 Sr 0.3169 0.5669 0.7500
2 Sr 0.4331 0.6831 0.7500
3 Sr 0.5669 0.3169 0.2500
4 Sr 0.6831 0.4331 0.2500
5 Ru 0.1250 0.8750 0.2500
6 Ru 0.8750 0.1250 0.7500

calculated total energy: -11.39 eV/f.u.
energy of formation: 120 kJ/mol of formula units
size of the total moment: 0.00 Bohr magnetons per cell
DOS at the Fermi energy: 9.13 states/eV/cell

---

(4)
The following is a DFT calculation (PBE) of a relaxed structure of Sr3Ru.

Cell: 7.8758 7.8758 7.8758 Å, 152.58 137.59 51.24°
Fractional positions:
1 Sr 0.0000 0.0000 0.0000
2 Sr 0.3350 0.8350 0.5000
3 Sr 0.6650 0.1650 0.5000
4 Ru 0.5000 0.5000 0.0000

calculated total energy: -12.95 eV/f.u.
energy of formation: 133 kJ/mol of formula units
size of the total moment: 0.00 Bohr magnetons per cell
DOS at the Fermi energy: 3.93 states/eV/cell

---

(5)
The following is a DFT calculation (PBE) of a relaxed structure of SrRu2.

Cell: 5.2440 5.2440 8.5700 Å, 107.26 107.26 32.22°
Fractional positions:
1 Sr 0.1578 0.1578 0.1364
2 Sr 0.8422 0.8422 0.8636
3 Ru 0.1366 0.1366 0.5127
4 Ru 0.4567 0.4567 0.2881
5 Ru 0.5433 0.5433 0.7119
6 Ru 0.8634 0.8634 0.4873

calculated total energy: -18.54 eV/f.u.
energy of formation: 164 kJ/mol of formula units
size of the total moment: 0.00 Bohr magnetons per cell
DOS at the Fermi energy: 7.16 states/eV/cell

---

(6)
The following is a DFT calculation (PBE) of a relaxed structure of Sr2Ru.

Cell: 4.9978 4.9978 4.0556 Å, 90.00 90.00 120.00°
Fractional positions:
1 Sr 0.3333 0.6667 0.2687
2 Sr 0.6667 0.3333 0.7313
3 Ru 0.0000 0.0000 0.0000

calculated total energy: -10.87 eV/f.u.
energy of formation: 171 kJ/mol of formula units
size of the total moment: 0.00 Bohr magnetons per cell
DOS at the Fermi energy: 2.78 states/eV/cell

---

(7)
The following is a DFT calculation (PBE) of a relaxed structure of Sr3Ru.

Cell: 8.4520 8.4520 4.6532 Å, 90.00 90.00 120.00°
Fractional positions:
1 Sr 0.1953 0.3907 0.2500
2 Sr 0.1953 0.8047 0.2500
3 Sr 0.3907 0.1953 0.7500
4 Sr 0.6093 0.8047 0.2500
5 Sr 0.8047 0.1953 0.7500
6 Sr 0.8047 0.6093 0.7500
7 Ru 0.3333 0.6667 0.7500
8 Ru 0.6667 0.3333 0.2500

calculated total energy: -12.57 eV/f.u.
energy of formation: 169 kJ/mol of formula units
size of the total moment: 0.00 Bohr magnetons per cell
DOS at the Fermi energy: 5.21 states/eV/cell

---

(8)
The following is a DFT calculation (PBE) of a relaxed structure of SrRu2.

Cell: 6.3768 6.3768 6.3768 Å, 133.86 133.86 67.31°
Fractional positions:
1 Sr 0.2500 0.2500 0.0000
2 Sr 0.7500 0.7500 0.0000
3 Ru 0.1777 0.6777 0.8554
4 Ru 0.3223 0.1777 0.5000
5 Ru 0.6777 0.8223 0.5000
6 Ru 0.8223 0.3223 0.1446

calculated total energy: -19.07 eV/f.u.
energy of formation: 112 kJ/mol of formula units
size of the total moment: 0.00 Bohr magnetons per cell
DOS at the Fermi energy: 2.83 states/eV/cell

---

(9)
The following is a DFT calculation (PBE) of a relaxed structure of Sr3Ru.

Cell: 6.7686 6.7686 6.7686 Å, 145.28 73.38 117.65°
Fractional positions:
1 Sr 0.0000 0.0000 0.0000
2 Sr 0.3076 0.4834 0.8242
3 Sr 0.6592 0.4834 0.1758
4 Ru 0.3063 0.8063 0.5000

calculated total energy: -13.04 eV/f.u.
energy of formation: 124 kJ/mol of formula units
size of the total moment: 0.00 Bohr magnetons per cell
DOS at the Fermi energy: 3.85 states/eV/cell

---

(10)
The following is a DFT calculation (PBE) of a relaxed structure of SrRu5.

Cell: 6.5796 6.5796 3.9854 Å, 90.00 90.00 144.57°
Fractional positions:
1 Sr 0.0000 0.0000 0.0000
2 Ru 0.1861 0.8139 0.5000
3 Ru 0.3129 0.6871 0.0000
4 Ru 0.5000 0.5000 0.5000
5 Ru 0.6871 0.3129 0.0000
6 Ru 0.8139 0.1861 0.5000

calculated total energy: -44.70 eV/f.u.
energy of formation: 324 kJ/mol of formula units
size of the total moment: 0.23 Bohr magnetons per cell
DOS at the Fermi energy: 6.93 states/eV/cell

---

(11)
The following is a DFT calculation (PBE) of a relaxed structure of SrRu2.

Cell: 6.7063 6.7063 6.7063 Å, 90.00 90.00 90.00°
Fractional positions:
1 Sr 0.0000 0.0000 0.0000
2 Sr 0.0000 0.5000 0.5000
3 Sr 0.5000 0.0000 0.5000
4 Sr 0.5000 0.5000 0.0000
5 Ru 0.0977 0.5977 0.9023
6 Ru 0.0977 0.9023 0.4023
7 Ru 0.4023 0.0977 0.9023
8 Ru 0.4023 0.4023 0.4023
9 Ru 0.5977 0.5977 0.5977
10 Ru 0.5977 0.9023 0.0977
11 Ru 0.9023 0.0977 0.5977
12 Ru 0.9023 0.4023 0.0977

calculated total energy: -14.61 eV/f.u.
energy of formation: 542 kJ/mol of formula units
size of the total moment: 5.86 Bohr magnetons per cell
DOS at the Fermi energy: 26.07 states/eV/cell

---

(12)
The following is a DFT calculation (PBE) of a relaxed structure of Sr3Ru.

Cell: 11.5731 11.5731 11.5731 Å, 19.91 19.91 19.91°
Fractional positions:
1 Sr 0.0000 0.0000 0.0000
2 Sr 0.2231 0.2231 0.2231
3 Sr 0.7769 0.7769 0.7769
4 Ru 0.5000 0.5000 0.5000

calculated total energy: -12.53 eV/f.u.
energy of formation: 173 kJ/mol of formula units
size of the total moment: 0.01 Bohr magnetons per cell
DOS at the Fermi energy: 4.39 states/eV/cell

---

Copy entry 12 word for word.
The following is a DFT calculation (PBE) of a relaxed structure of Sr3Ru.

Cell: 11.5731 11.5731 11.5731 Å, 19.91 19.91 19.91°
Fractional positions:
1 Sr 0.0000 0.0000 0.0000
2 Sr 0.2231 0.2231 0.2231
3 Sr 0.7769 0.7769 0.7769
4 Ru 0.5000 0.5000 0.5000

calculated total energy: -12.53 eV/f.u.
energy of formation: 173 kJ/mol of formula units
size of the total moment: 0.01 Bohr magnetons per cell
DOS at the Fermi energy: 4.39 states/eV/cell

---

- The highest calculated total energy belongs to which entry?
  number 6